The following is a DFT calculation (PBE) of a relaxed HoCo2Ni4 crystal.

The structure belongs to space group C2/m (No. 12); the cell edges are 7.777, 6.182 and 4.732 Å and the angles 90.00°, 127.35° and 90.00°. Symmetry generates all atoms from Ho at (0.000, 0.000, 0.000), Co at (0.000, 0.500, 0.250) and Ni at (0.195, 0.195, 0.695).

The calculation puts the calculated formation energy at -4.1 kcal/mol of atoms. For the total magnetization, the calculation gives 8.9 μB per cell.